Computed, not measured: a geometry-optimized NiB2AsO6 structure at the GGA+U level of DFT.

Calculated values
Total moment ... 3.99 μB per cell
D(E_F) ... 2.8 states/eV/f.u.
Energy ... -132.70 eV for the cell shown

Structure (extended XYZ):
```
20
Lattice="4.4715 -4.2070 0.0000 4.4715 4.2070 0.0000 -1.0518 0.0000 4.6134" Properties=species:S:1:pos:R:3 pbc="T T T"
Ni 3.6826 3.4183 3.4600
Ni 4.2085 -3.4183 1.1533
B 1.8754 0.7116 3.3632
B 2.4013 -0.7116 1.0565
B 5.4898 0.7116 3.5569
B 6.0157 -0.7116 1.2502
As 4.2085 1.7891 1.1533
As 3.6826 -1.7891 3.4600
O 0.3938 0.8898 3.0433
O 2.4248 1.9054 3.9761
O 0.9197 -0.8898 0.7366
O 2.5517 0.4253 2.0247
O 2.0258 -0.4253 4.3314
O 4.9404 1.9054 2.9439
O 2.9507 -1.9054 1.6695
O 5.8653 0.4253 0.2819
O 5.3394 -0.4253 2.5886
O 6.9714 0.8898 3.8767
O 5.4663 -1.9054 0.6372
O 7.4974 -0.8898 1.5701
```